Below is a relaxed structure of PaMnSi2Os, with properties calculated at the PBE-GGA level.

Structure (POSCAR):
```
PaMnSi2Os
1.0
-1.390 1.157 -3.603
-3.689 0.440 1.564
3.582 3.950 2.142
Si Pa Os Mn
2 1 1 1
direct
0.620 0.620 0.241 Si
0.380 0.380 0.759 Si
0.000 0.000 0.000 Pa
0.750 0.250 0.500 Os
0.250 0.750 0.500 Mn
```

Properties
**Space-group type**: I-4m2 (119)
**D(E_F)**: 1.047 states/eV/atom
**Raw formation energy**: -0.6175 eV per atom
**M_tot**: 2.1 μB per cell